# 1
Density functional theory data (PBE) for an optimized crystal structure of Cd2Si2Pd3.

Lattice parameters (Å, degrees): 7.417 7.417 7.417 35.00 35.00 35.00
Element x y z (fractional)
Cd: 0.000 0.000 0.000
Cd: 0.473 0.473 0.473
Si: 0.245 0.245 0.245
Si: 0.739 0.739 0.739
Pd: 0.126 0.126 0.126
Pd: 0.612 0.612 0.612
Pd: 0.868 0.868 0.868

## Properties
SG: No. 160
Total DFT energy (no corrections) in eV/cell: -29.871

=====

# 2
Density functional theory data (PBE) for an optimized crystal structure of Sm3Cd3Ga2Au.

Lattice parameters (Å, degrees): 7.602 7.602 4.241 90.00 90.00 120.00
Element x y z (fractional)
Sm: 0.000 0.404 0.000
Sm: 0.404 0.000 0.000
Sm: 0.596 0.596 0.000
Cd: 0.000 0.739 0.500
Cd: 0.261 0.261 0.500
Cd: 0.739 0.000 0.500
Ga: 0.333 0.667 0.500
Ga: 0.667 0.333 0.500
Au: 0.000 0.000 0.000

## Properties
Spin magnetization in μB per formula unit: 0.012
SG: No. 189
Total DFT energy (no corrections) in eV/cell: -31.328

=====

# 3
Density functional theory data (PBE) for an optimized crystal structure of Sm3Co4Ge13.

Lattice parameters (Å, degrees): 8.844 8.844 8.844 90.00 90.00 90.00
Element x y z (fractional)
Sm: 0.000 0.250 0.500
Sm: 0.000 0.750 0.500
Sm: 0.250 0.500 0.000
Sm: 0.500 0.000 0.250
Sm: 0.500 0.000 0.750
Sm: 0.750 0.500 0.000
Co: 0.250 0.250 0.250
Co: 0.250 0.250 0.750
Co: 0.250 0.750 0.250
Co: 0.250 0.750 0.750
Co: 0.750 0.250 0.250
Co: 0.750 0.250 0.750
Co: 0.750 0.750 0.250
Co: 0.750 0.750 0.750
Ge: 0.000 0.000 0.000
Ge: 0.000 0.301 0.153
Ge: 0.000 0.301 0.847
Ge: 0.000 0.699 0.153
Ge: 0.000 0.699 0.847
Ge: 0.153 0.000 0.301
Ge: 0.153 0.000 0.699
Ge: 0.199 0.500 0.347
Ge: 0.199 0.500 0.653
Ge: 0.301 0.153 0.000
Ge: 0.301 0.847 0.000
Ge: 0.347 0.199 0.500
Ge: 0.347 0.801 0.500
Ge: 0.500 0.347 0.199
Ge: 0.500 0.347 0.801
Ge: 0.500 0.500 0.500
Ge: 0.500 0.653 0.199
Ge: 0.500 0.653 0.801
Ge: 0.653 0.199 0.500
Ge: 0.653 0.801 0.500
Ge: 0.699 0.153 0.000
Ge: 0.699 0.847 0.000
Ge: 0.801 0.500 0.347
Ge: 0.801 0.500 0.653
Ge: 0.847 0.000 0.301
Ge: 0.847 0.000 0.699

## Properties
Spin magnetization in μB per formula unit: 0.003
SG: No. 223
Total DFT energy (no corrections) in eV/cell: -221.557

=====

# 4
Density functional theory data (PBE) for an optimized crystal structure of LiPrAsO.

Lattice parameters (Å, degrees): 4.750 4.750 6.871 90.00 90.00 90.00
Element x y z (fractional)
Li: 0.250 0.250 0.073
Li: 0.750 0.750 0.927
Pr: 0.250 0.750 0.500
Pr: 0.750 0.250 0.500
As: 0.250 0.250 0.728
As: 0.750 0.750 0.272
O: 0.250 0.750 0.000
O: 0.750 0.250 0.000

## Properties
Polymorph energy (0 for the lowest one) in meV/atom: 1393
Spin magnetization in μB per formula unit: 0.832
SG: No. 129

=====

# 5
Density functional theory data (PBE) for an optimized crystal structure of PrGd3C2I2.

Lattice parameters (Å, degrees): 3.824 3.824 15.152 90.00 90.00 120.00
Element x y z (fractional)
Pr: 0.000 0.000 0.000
Gd: 0.000 0.000 0.330
Gd: 0.667 0.333 0.500
Gd: 0.667 0.333 0.824
C: 0.333 0.667 0.416
C: 0.333 0.667 0.904
I: 0.000 0.000 0.661
I: 0.667 0.333 0.172

## Properties
Spin magnetization in μB per formula unit: 0.003
SG: No. 156
Total DFT energy (no corrections) in eV/cell: -46.198

=====

# 6
Density functional theory data (PBE) for an optimized crystal structure of SmGeW.

Lattice parameters (Å, degrees): 6.818 6.818 6.818 90.00 90.00 90.00
Element x y z (fractional)
Sm: 0.000 0.000 0.000
Sm: 0.000 0.500 0.500
Sm: 0.500 0.000 0.500
Sm: 0.500 0.500 0.000
Ge: 0.250 0.250 0.750
Ge: 0.250 0.750 0.250
Ge: 0.750 0.250 0.250
Ge: 0.750 0.750 0.750
W: 0.250 0.250 0.250
W: 0.250 0.750 0.750
W: 0.750 0.250 0.750
W: 0.750 0.750 0.250

## Properties
Polymorph energy (0 for the lowest one) in meV/atom: 972
Spin magnetization in μB per formula unit: 2.961
SG: No. 216

=====

# 7
Density functional theory data (PBE) for an optimized crystal structure of La7Co3.

Lattice parameters (Å, degrees): 9.850 9.850 6.485 90.00 90.00 120.00
Element x y z (fractional)
La: 0.076 0.538 0.000
La: 0.125 0.250 0.687
La: 0.125 0.875 0.687
La: 0.250 0.125 0.187
La: 0.333 0.667 0.448
La: 0.462 0.538 0.000
La: 0.462 0.924 0.000
La: 0.538 0.076 0.500
La: 0.538 0.462 0.500
La: 0.667 0.333 0.948
La: 0.750 0.875 0.687
La: 0.875 0.125 0.187
La: 0.875 0.750 0.187
La: 0.924 0.462 0.500
Co: 0.186 0.372 0.222
Co: 0.186 0.814 0.222
Co: 0.372 0.186 0.722
Co: 0.628 0.814 0.222
Co: 0.814 0.186 0.722
Co: 0.814 0.628 0.722

## Properties
Formation enthalpy at 0 K in eV/atom: -0.1174
Spin magnetization in μB per formula unit: 0.001
SG: No. 186

=====

# 8
Density functional theory data (PBE) for an optimized crystal structure of LuBi.

Lattice parameters (Å, degrees): 4.081 4.081 4.045 90.00 90.00 120.00
Element x y z (fractional)
Lu: 0.000 0.000 0.000
Bi: 0.333 0.667 0.500

## Properties
Spin magnetization in μB per formula unit: 0.005
SG: No. 187
Total DFT energy (no corrections) in eV/cell: -9.539

=====

# 9
Density functional theory data (PBE) for an optimized crystal structure of NaZrPO.

Lattice parameters (Å, degrees): 3.766 7.216 5.479 90.00 90.00 90.00
Element x y z (fractional)
Na: 0.000 0.056 0.000
Na: 0.000 0.944 0.500
Zr: 0.500 0.345 0.344
Zr: 0.500 0.655 0.844
P: 0.500 0.309 0.835
P: 0.500 0.691 0.335
O: 0.000 0.226 0.338
O: 0.000 0.774 0.838

## Properties
Polymorph energy (0 for the lowest one) in meV/atom: 156
Spin magnetization in μB per formula unit: 0.007
SG: No. 26

=====

# 10
Density functional theory data (PBE) for an optimized crystal structure of GdHoGe2Au2.

Lattice parameters (Å, degrees): 4.483 4.483 7.331 90.00 90.00 120.00
Element x y z (fractional)
Gd: 0.000 0.000 0.000
Ho: 0.000 0.000 0.499
Ge: 0.333 0.667 0.706
Ge: 0.667 0.333 0.210
Au: 0.333 0.667 0.296
Au: 0.667 0.333 0.785

## Properties
Spin magnetization in μB per formula unit: 0.000
SG: No. 156
Total DFT energy (no corrections) in eV/cell: -30.025

=====

# 11
Density functional theory data (PBE) for an optimized crystal structure of CoBr.

Lattice parameters (Å, degrees): 4.392 3.520 5.493 90.00 90.00 90.00
Element x y z (fractional)
Co: 0.250 0.000 0.060
Co: 0.750 0.000 0.940
Br: 0.250 0.500 0.752
Br: 0.750 0.500 0.248

## Properties
Polymorph energy (0 for the lowest one) in meV/atom: 111
Spin magnetization in μB per formula unit: 2.002
SG: No. 51

=====

# 12
Density functional theory data (PBE) for an optimized crystal structure of SrHoMg.

Lattice parameters (Å, degrees): 7.835 7.835 7.835 90.00 90.00 90.00
Element x y z (fractional)
Sr: 0.000 0.000 0.000
Sr: 0.000 0.500 0.500
Sr: 0.500 0.000 0.500
Sr: 0.500 0.500 0.000
Ho: 0.000 0.000 0.500
Ho: 0.000 0.500 0.000
Ho: 0.500 0.000 0.000
Ho: 0.500 0.500 0.500
Mg: 0.250 0.250 0.750
Mg: 0.250 0.750 0.250
Mg: 0.750 0.250 0.250
Mg: 0.750 0.750 0.750

## Properties
Polymorph energy (0 for the lowest one) in meV/atom: 0
Spin magnetization in μB per formula unit: 0.029
SG: No. 216

=====

# 13
Density functional theory data (PBE) for an optimized crystal structure of KHfCd.

Lattice parameters (Å, degrees): 7.314 7.314 7.314 90.00 90.00 90.00
Element x y z (fractional)
K: 0.000 0.000 0.000
K: 0.000 0.500 0.500
K: 0.500 0.000 0.500
K: 0.500 0.500 0.000
Hf: 0.000 0.000 0.500
Hf: 0.000 0.500 0.000
Hf: 0.500 0.000 0.000
Hf: 0.500 0.500 0.500
Cd: 0.250 0.250 0.750
Cd: 0.250 0.750 0.250
Cd: 0.750 0.250 0.250
Cd: 0.750 0.750 0.750

## Properties
Polymorph energy (0 for the lowest one) in meV/atom: 0
Spin magnetization in μB per formula unit: 0.700
SG: No. 216

=====

# 14
Density functional theory data (PBE) for an optimized crystal structure of BaCdAu.

Lattice parameters (Å, degrees): 4.422 5.001 8.492 90.00 90.00 90.00
Element x y z (fractional)
Ba: 0.000 0.000 0.000
Ba: 0.000 0.500 0.500
Cd: 0.500 0.000 0.335
Cd: 0.500 0.500 0.835
Au: 0.500 0.000 0.671
Au: 0.500 0.500 0.171

## Properties
SG: No. 38
Total DFT energy (no corrections) in eV/cell: -15.563

=====

# 15
Density functional theory data (PBE) for an optimized crystal structure of Zr4Nb3.

Lattice parameters (Å, degrees): 8.363 8.363 4.870 90.00 90.00 120.00
Element x y z (fractional)
Zr: 0.089 0.632 0.250
Zr: 0.333 0.667 0.750
Zr: 0.368 0.458 0.250
Zr: 0.458 0.089 0.750
Zr: 0.542 0.911 0.250
Zr: 0.632 0.542 0.750
Zr: 0.667 0.333 0.250
Zr: 0.911 0.368 0.750
Nb: 0.022 0.806 0.750
Nb: 0.194 0.217 0.750
Nb: 0.217 0.022 0.250
Nb: 0.783 0.978 0.750
Nb: 0.806 0.783 0.250
Nb: 0.978 0.194 0.250

## Properties
Formation enthalpy at 0 K in eV/atom: 0.2148
Polymorph energy (0 for the lowest one) in meV/atom: 132
Spin magnetization in μB per formula unit: 0.405
SG: No. 176

=====

# 16
Density functional theory data (PBE) for an optimized crystal structure of HoGa2Ni.

Lattice parameters (Å, degrees): 4.095 10.057 6.704 90.00 90.00 90.00
Element x y z (fractional)
Ho: 0.000 0.069 0.250
Ho: 0.000 0.931 0.750
Ho: 0.500 0.431 0.750
Ho: 0.500 0.569 0.250
Ga: 0.000 0.355 0.054
Ga: 0.000 0.355 0.446
Ga: 0.000 0.645 0.554
Ga: 0.000 0.645 0.946
Ga: 0.500 0.145 0.554
Ga: 0.500 0.145 0.946
Ga: 0.500 0.855 0.054
Ga: 0.500 0.855 0.446
Ni: 0.000 0.213 0.750
Ni: 0.000 0.787 0.250
Ni: 0.500 0.287 0.250
Ni: 0.500 0.713 0.750

## Properties
Spin magnetization in μB per formula unit: 0.003
SG: No. 63
Total DFT energy (no corrections) in eV/cell: -75.305

=====

# 17
Density functional theory data (PBE) for an optimized crystal structure of MgInCoHg.

Lattice parameters (Å, degrees): 6.576 6.576 6.576 90.00 90.00 90.00
Element x y z (fractional)
Mg: 0.000 0.000 0.000
Mg: 0.000 0.500 0.500
Mg: 0.500 0.000 0.500
Mg: 0.500 0.500 0.000
In: 0.250 0.250 0.250
In: 0.250 0.750 0.750
In: 0.750 0.250 0.750
In: 0.750 0.750 0.250
Co: 0.000 0.000 0.500
Co: 0.000 0.500 0.000
Co: 0.500 0.000 0.000
Co: 0.500 0.500 0.500
Hg: 0.250 0.250 0.750
Hg: 0.250 0.750 0.250
Hg: 0.750 0.250 0.250
Hg: 0.750 0.750 0.750

## Properties
Polymorph energy (0 for the lowest one) in meV/atom: 0
Spin magnetization in μB per formula unit: 0.284
SG: No. 216

=====

# 18
Density functional theory data (PBE) for an optimized crystal structure of Ba2AsAu.

Lattice parameters (Å, degrees): 5.647 5.647 4.074 90.00 90.00 90.00
Element x y z (fractional)
Ba: 0.000 0.500 0.000
Ba: 0.500 0.000 0.000
As: 0.000 0.000 0.500
Au: 0.500 0.500 0.500

## Properties
SG: No. 123
Total DFT energy (no corrections) in eV/cell: -15.227

=====

# 19
Density functional theory data (PBE) for an optimized crystal structure of TmSnTe.

Lattice parameters (Å, degrees): 7.234 7.234 7.234 90.00 90.00 90.00
Element x y z (fractional)
Tm: 0.000 0.000 0.000
Tm: 0.000 0.500 0.500
Tm: 0.500 0.000 0.500
Tm: 0.500 0.500 0.000
Sn: 0.000 0.000 0.500
Sn: 0.000 0.500 0.000
Sn: 0.500 0.000 0.000
Sn: 0.500 0.500 0.500
Te: 0.250 0.250 0.750
Te: 0.250 0.750 0.250
Te: 0.750 0.250 0.250
Te: 0.750 0.750 0.750

## Properties
Spin magnetization in μB per formula unit: 0.011
SG: No. 216
Total DFT energy (no corrections) in eV/cell: -49.116

=====

# 20
Density functional theory data (PBE) for an optimized crystal structure of FeSn.

Lattice parameters (Å, degrees): 5.044 3.975 7.280 90.00 90.00 90.00
Element x y z (fractional)
Fe: 0.000 0.000 0.000
Fe: 0.250 0.500 0.120
Fe: 0.500 0.000 0.000
Fe: 0.750 0.500 0.880
Sn: 0.250 0.000 0.370
Sn: 0.250 0.500 0.761
Sn: 0.750 0.000 0.630
Sn: 0.750 0.500 0.239

## Properties
Spin magnetization in μB per formula unit: 2.148
SG: No. 51
Total DFT energy (no corrections) in eV/cell: -48.718